The following is a DFT calculation (PBE-GGA) of an optimized crystal structure of AlGe2Os2.

a = 7.1372 Å, b = 7.1372 Å, c = 3.0427 Å
α = 90.00°, β = 90.00°, γ = 90.00°
Space group P4/mbm (No. 127)
Unique sites:
Al  0.0000  0.0000  0.0000 (multiplicity 2)
Ge  0.1488  0.3512  0.5000 (multiplicity 4)
Os  0.1497  0.6497  0.0000 (multiplicity 4)

Computed properties:
- formation energy from the elements (meV per atom) = 148
- size of the total moment (μB per formula unit) = 0.0
- V (A^3/atom) = 15.50